Here is TiTl3Cr after structural relaxation from Alexandria. Energies are from PBE.

a = 5.3359 Å, b = 5.3359 Å, c = 5.3359 Å
α = 90.00°, β = 90.00°, γ = 90.00°
With the nearest neighbours (Å) after each atom.
Space group Pm-3m (No. 221)
Unique sites:
1 Ti 0.0000 0.0000 0.0000  6 Tl 2.67
2 Tl 0.0000 0.0000 0.5000  2 Ti 2.67
3 Cr 0.5000 0.5000 0.5000  12 Tl 3.77

Calculated values
**Total magnetic moment**: 0.4 μB per formula unit
**Energy of formation**: 131 kJ/mol of atoms
**D(E_F)**: 0.84 states/eV per atom
**E above lowest polymorph**: 2.16 eV per formula unit